1.
ErBiRhAu (PBE, optimized geometry); ΔH_f (0 K) = -491.2 meV/atom; space group = F-43m; magnetic moment = 0.00 μB per formula unit; crystal system = cubic
1.0
0.0000 3.4877 3.4877
3.4877 0.0000 3.4877
3.4877 3.4877 0.0000
Er Bi Rh Au
1 1 1 1
Direct
0.0000 0.0000 0.0000 Er
0.5000 0.5000 0.5000 Bi
0.7500 0.7500 0.7500 Rh
0.2500 0.2500 0.2500 Au


2.
SrPuTcN3 (PBE, optimized geometry); space group = P2_1/m; magnetic moment = 4.11 μB per formula unit; crystal system = monoclinic; E_form (uncorrected) = -0.696 eV per atom
1.0
6.5886 0.0000 0.0000
0.0000 3.5129 0.0000
-1.9381 0.0000 8.7785
Sr Pu Tc N
2 2 2 6
Direct
0.2059 0.2500 0.2208 Sr
0.7941 0.7500 0.7792 Sr
0.3392 0.2500 0.8553 Pu
0.6608 0.7500 0.1447 Pu
0.1296 0.7500 0.5675 Tc
0.8704 0.2500 0.4325 Tc
0.0226 0.2500 0.6580 N
0.3170 0.7500 0.0192 N
0.3958 0.7500 0.7075 N
0.6042 0.2500 0.2925 N
0.6830 0.2500 0.9808 N
0.9774 0.7500 0.3420 N


3.
K2In3F10 (PBE, optimized geometry); space group = C2/m; magnetic moment = 0.00 μB per formula unit; crystal system = monoclinic; E_form (uncorrected) = -2.559 eV per atom
1.0
10.1135 -3.1112 0.0000
10.1135 3.1112 0.0000
-3.2523 0.0000 8.3464
K In F
4 6 20
Direct
0.1152 0.1152 0.2323 K
0.2090 0.2090 0.8643 K
0.7910 0.7910 0.1357 K
0.8848 0.8848 0.7677 K
0.2781 0.7219 0.5000 In
0.3203 0.3203 0.4800 In
0.4146 0.4146 0.9986 In
0.5854 0.5854 0.0014 In
0.6797 0.6797 0.5200 In
0.7219 0.2781 0.5000 In
0.0000 0.5000 0.5000 F
0.0181 0.0181 0.6573 F
0.0980 0.5897 0.9698 F
0.1243 0.6508 0.4850 F
0.2756 0.2756 0.2381 F
0.2841 0.7159 0.0000 F
0.3492 0.8757 0.5150 F
0.3749 0.3749 0.7339 F
0.4103 0.9020 0.0302 F
0.4553 0.4553 0.2465 F
0.5000 0.0000 0.5000 F
0.5447 0.5447 0.7535 F
0.5897 0.0980 0.9698 F
0.6251 0.6251 0.2661 F
0.6508 0.1243 0.4850 F
0.7159 0.2841 0.0000 F
0.7244 0.7244 0.7619 F
0.8757 0.3492 0.5150 F
0.9020 0.4103 0.0302 F
0.9819 0.9819 0.3427 F